The following is a DFT calculation (PBE) of Na2AgSn3Au4 after structural relaxation.

a b c (Å): 4.4326 4.4326 12.2719
angles (deg): 90.00 90.00 90.00
With the nearest neighbours (Å) after each atom.
Space group P-4m2 (No. 115)
Unique sites:
Na: 0.0000 0.5000 0.2380 x2  4 Au 3.33, 6 Sn 3.49-3.67, 2 Ag 3.67
Ag: 0.5000 0.5000 0.0000 x1  4 Au 2.85, 4 Sn 3.13
Sn: 0.0000 0.0000 0.0000 x1  4 Au 2.85, 4 Ag 3.13
Sn: 0.0000 0.5000 0.6367 x2  5 Au 2.67-2.78
Au: 0.0000 0.0000 0.5000 x1  4 Sn 2.78
Au: 0.0000 0.5000 0.8544 x2  3 Sn 2.67-2.85, 2 Ag 2.85
Au: 0.5000 0.5000 0.5000 x1  4 Sn 2.78

Formation energy from the elements (eV per atom): -0.2073
Energy (eV/atom): -3.268